Crystalline TmScCuAu at its relaxed geometry. Source: Alexandria, functional GGA-PBE.

## Properties
DOS(E_F)   3.1 states/eV/f.u.
Total moment   0.0 μB/cell
E_form   -0.545 eV per atom
Calculated density   9.804 g/cm3
Volume   80 Å³ per cell

extended XYZ file:
```
4
Lattice="-3.708 -3.066 -0.556 0.209 -3.467 -3.376 0.473 -4.637 1.317" Properties=species:S:1:pos:R:3 pbc="T T T"
Tm -2.269 -8.378 -1.961
Au -1.513 -5.585 -1.308
Cu 0.000 0.000 0.000
Sc -0.756 -2.793 -0.654
```

---

Crystalline LiCaZn2Ag4 at its relaxed geometry. Source: Alexandria, functional GGA-PBE.

## Properties
DOS(E_F)   2.2 states/eV/f.u.
Total moment   0.0 μB/cell
E_form   -0.179 eV per atom
Calculated density   6.753 g/cm3
Volume   150 Å³ per cell

extended XYZ file:
```
8
Lattice="4.544 0.000 0.000 2.272 3.935 0.000 2.272 1.312 8.380" Properties=species:S:1:pos:R:3 pbc="T T T"
Ag 6.815 3.935 3.249
Ag 2.272 1.312 5.131
Ag 4.544 2.623 6.738
Ag 4.544 2.623 1.642
Li 4.544 2.623 4.190
Zn 6.815 3.935 6.109
Zn 2.272 1.312 2.272
Ca 0.000 0.000 0.000
```

---

Crystalline Ce2HoScS5 at its relaxed geometry. Source: Alexandria, functional GGA-PBE.

## Properties
DOS(E_F)   19.0 states/eV/f.u.
Total moment   3.2 μB/cell
Calculated density   4.459 g/cm3
ΔE_f (raw)   -13.11 eV/f.u.
Volume   242 Å³ per cell

extended XYZ file:
```
9
Lattice="-2.130 3.347 2.930 -2.808 -3.531 1.993 6.965 -1.631 6.926" Properties=species:S:1:pos:R:3 pbc="T T T"
S 5.317 -1.245 5.287
S -2.469 -0.092 2.461
S 2.079 -2.581 4.459
S 2.418 0.858 4.928
S 1.648 -0.386 1.639
Ce -0.435 -0.568 4.484
Ce 2.462 -1.246 7.365
Ho 3.483 -0.815 3.463
Sc 0.000 0.000 0.000
```

---

Crystalline Pb3Se at its relaxed geometry. Source: Alexandria, functional GGA-PBE.

## Properties
DOS(E_F)   1.8 states/eV/f.u.
Total moment   0.0 μB/cell
Calculated density   9.242 g/cm3
ΔE_f (raw)   -0.18 eV/f.u.
Volume   252 Å³ per cell

extended XYZ file:
```
8
Lattice="4.023 -5.451 0.000 4.023 5.451 0.000 0.000 0.000 5.739" Properties=species:S:1:pos:R:3 pbc="T T T"
Pb 4.023 4.373 1.435
Pb 1.874 1.802 1.435
Pb 6.173 -1.802 4.304
Pb 6.173 1.802 1.435
Pb 1.874 -1.802 4.304
Pb 4.023 -4.373 4.304
Se 4.023 0.110 4.304
Se 4.023 -0.110 1.435
```

---

Crystalline Ce8AgRu6 at its relaxed geometry. Source: Alexandria, functional GGA-PBE.

## Properties
DOS(E_F)   24.3 states/eV/f.u.
Total moment   0.2 μB/cell
E_form   -0.256 eV per atom
Calculated density   8.678 g/cm3
Volume   351 Å³ per cell

extended XYZ file:
```
15
Lattice="4.030 0.000 0.000 0.000 10.031 0.000 0.000 -5.015 8.687" Properties=species:S:1:pos:R:3 pbc="T T T"
Ce 3.074 1.127 2.805
Ce 3.074 -3.150 6.309
Ce 0.957 3.889 5.882
Ce 3.001 5.015 2.896
Ce 3.074 2.023 8.260
Ce 0.957 2.992 0.427
Ce 1.029 0.000 5.791
Ce 0.957 8.165 2.378
Ru 3.020 2.231 5.421
Ru 1.011 6.451 4.643
Ru 3.020 -0.795 7.908
Ru 1.011 5.810 0.779
Ru 3.020 -1.436 4.044
Ru 1.011 2.784 3.266
Ag 2.015 0.000 0.000
```

---

Crystalline PrDy2Sc4 at its relaxed geometry. Source: Alexandria, functional GGA-PBE.

## Properties
DOS(E_F)   14.2 states/eV/f.u.
Energy relative to the lowest polymorph listed for this composition   0.149 eV per atom
Total moment   3.0 μB/cell
E_form   0.235 eV per atom
Calculated density   5.182 g/cm3
Volume   207 Å³ per cell

extended XYZ file:
```
7
Lattice="-1.548 -3.798 6.995 4.536 -6.278 -2.403 1.046 6.378 -1.008" Properties=species:S:1:pos:R:3 pbc="T T T"
Sc 2.068 -6.976 3.179
Sc 3.710 0.862 -0.521
Sc 0.920 -3.101 1.413
Sc 0.323 -4.560 4.107
Pr 4.031 -3.699 3.585
Dy 0.496 -1.228 4.140
Dy 3.538 -2.471 -0.558
```

---

Crystalline SmHoErIn at its relaxed geometry. Source: Alexandria, functional GGA-PBE.

## Properties
DOS(E_F)   5.7 states/eV/f.u.
Energy relative to the lowest polymorph listed for this composition   0.034 eV per atom
Total moment   1.4 μB/cell
E_form   -0.094 eV per atom
Calculated density   8.654 g/cm3
Volume   115 Å³ per cell

extended XYZ file:
```
4
Lattice="-3.203 -3.814 -2.217 4.142 -1.658 -3.132 0.603 0.241 5.414" Properties=species:S:1:pos:R:3 pbc="T T T"
Er 0.470 -2.736 -2.675
In 2.608 -2.076 -0.196
Sm -1.065 -3.154 0.261
Ho 0.000 0.000 0.000
```

---

Crystalline Rb3CaRe at its relaxed geometry. Source: Alexandria, functional GGA-PBE.

## Properties
DOS(E_F)   20.2 states/eV/f.u.
Energy relative to the lowest polymorph listed for this composition   0.000 eV per atom
Total moment   2.2 μB/cell
E_form   1.466 eV per atom
Calculated density   2.502 g/cm3
Volume   320 Å³ per cell

extended XYZ file:
```
5
Lattice="-6.105 3.084 0.171 -1.292 -2.894 6.064 2.806 5.378 3.165" Properties=species:S:1:pos:R:3 pbc="T T T"
Ca -2.296 2.785 4.700
Rb -0.646 -1.447 3.032
Rb 1.403 2.689 1.582
Rb -3.052 1.542 0.085
Re 0.000 0.000 0.000
```